Run a
Te3C4: PBEsol geometry, meta-GGA SCAN.

```
Te3C4
1.0
3.4576 0.0000 0.0000
0.0000 3.4576 0.0000
-1.7288 -1.7288 10.6866
C Te
4 3
direct
0.2090 0.2090 0.4181
0.5313 0.5313 0.0626
0.7910 0.7910 0.5819
0.4687 0.4687 0.9374
0.3095 0.3095 0.6191
0.0000 0.0000 0.0000
0.6905 0.6905 0.3809
```



Run b
Te3C4: PBEsol geometry, meta-GGA SCAN.

```
Te3C4
1.0
-4.8453 -1.0572 0.1461
-0.1118 -0.1729 -4.9571
1.0614 -4.8444 0.1450
C Te
4 3
direct
0.7747 0.7747 0.7747
0.7747 0.2253 0.2253
0.2253 0.2253 0.7747
0.2253 0.7747 0.2253
0.5000 0.5000 0.0000
0.0000 0.5000 0.5000
0.5000 0.0000 0.5000
```



Question: of the structures shown, which is the most stable? Reply: run a.